The following is a DFT calculation (SCAN) of a crystal of LaTlCu relaxed with PBEsol.

The value obtained for the theoretical density is 9.5 g/cm3. The final energy is -43.959 eV/atom. For the energy of formation, the calculation gives -0.405 eV/atom.

abc: 3.720 4.709 4.709
angles: 120.00 90.00 90.00
Positions (direct):
Cu (0.500, 0.000, 0.000)
Tl (0.500, 0.667, 0.333)
La (0.000, 0.333, 0.667)



The following is a DFT calculation (SCAN) of a crystal of LaTlCu relaxed with PBEsol.

The value obtained for the theoretical density is 7.7 g/cm3. The final energy is -43.322 eV/atom. For the energy of formation, the calculation gives 0.232 eV/atom.

abc: 4.978 4.978 4.978
angles: 60.00 60.00 60.00
Positions (direct):
Cu (0.500, 0.500, 0.500)
Tl (0.000, 0.000, 0.000)
La (0.250, 0.250, 0.250)



The following is a DFT calculation (SCAN) of a crystal of LaTl2Cu relaxed with PBEsol.

The value obtained for the theoretical density is 10.5 g/cm3. The final energy is -50.865 eV/atom. For the energy of formation, the calculation gives -0.110 eV/atom.

abc: 3.531 3.531 7.758
angles: 90.00 90.00 90.00
Positions (direct):
Tl (0.500, 0.500, 0.289)
Tl (0.000, 0.000, 0.015)
Cu (0.000, 0.000, 0.481)
La (0.500, 0.500, 0.715)



The following is a DFT calculation (SCAN) of a crystal of LaTlCu relaxed with PBEsol.

The value obtained for the theoretical density is 9.0 g/cm3. The final energy is -43.906 eV/atom. For the energy of formation, the calculation gives -0.351 eV/atom.

abc: 4.739 4.739 4.739
angles: 60.00 60.00 60.00
Positions (direct):
Cu (0.250, 0.250, 0.250)
Tl (0.500, 0.500, 0.500)
La (0.000, 0.000, 0.000)



| no. | V (Å³ per cell) |
| --- | --- |
| 1 | 71.4 |
| 2 | 87.2 |
| 3 | 96.7 |
| 4 | 75.2 |